(1)
# meta-GGA SCAN BaMg4Si3, PBEsol geometry
# crystal system = tetragonal
# V = 22.469 A^3/atom
# raw formation energy = -0.312 eV per atom
# final energy = -11.50 eV/atom
data_BaMg4Si3
_cell_length_a 4.588
_cell_length_b 4.588
_cell_length_c 8.541
_cell_angle_alpha 90.00
_cell_angle_beta 90.00
_cell_angle_gamma 90.00
_symmetry_space_group_name_H-M 'P 1'
_symmetry_Int_Tables_number 1
loop_
_symmetry_equiv_pos_as_xyz
'x,y,z'
loop_
_atom_site_label
_atom_site_fract_x
_atom_site_fract_y
_atom_site_fract_z
Ba1 0.000 0.000 0.000
Mg1 0.000 0.500 0.317
Mg2 0.000 0.500 0.683
Mg3 0.500 0.000 0.317
Mg4 0.500 0.000 0.683
Si1 0.000 0.000 0.500
Si2 0.500 0.500 0.141
Si3 0.500 0.500 0.859

=====

(2)
# meta-GGA SCAN Fe2CoHg, PBEsol geometry
# crystal system = tetragonal
# V = 13.041 A^3/atom
# final energy = -30.26 eV/atom
data_Fe2CoHg
_cell_length_a 3.686
_cell_length_b 3.686
_cell_length_c 3.839
_cell_angle_alpha 90.00
_cell_angle_beta 90.00
_cell_angle_gamma 90.00
_symmetry_space_group_name_H-M 'P 1'
_symmetry_Int_Tables_number 1
loop_
_symmetry_equiv_pos_as_xyz
'x,y,z'
loop_
_atom_site_label
_atom_site_fract_x
_atom_site_fract_y
_atom_site_fract_z
Fe1 0.000 0.500 0.000
Fe2 0.500 0.000 0.000
Co1 0.000 0.000 0.500
Hg1 0.500 0.500 0.500

=====

(3)
# meta-GGA SCAN Hf2IrPd, PBEsol geometry
# crystal system = cubic
# V = 17.258 A^3/atom
# final energy = -58.26 eV/atom
data_Hf2IrPd
_cell_length_a 6.512
_cell_length_b 6.512
_cell_length_c 6.512
_cell_angle_alpha 90.00
_cell_angle_beta 90.00
_cell_angle_gamma 90.00
_symmetry_space_group_name_H-M 'P 1'
_symmetry_Int_Tables_number 1
loop_
_symmetry_equiv_pos_as_xyz
'x,y,z'
loop_
_atom_site_label
_atom_site_fract_x
_atom_site_fract_y
_atom_site_fract_z
Hf1 0.250 0.250 0.250
Hf2 0.250 0.250 0.750
Hf3 0.250 0.750 0.250
Hf4 0.250 0.750 0.750
Hf5 0.750 0.250 0.250
Hf6 0.750 0.250 0.750
Hf7 0.750 0.750 0.250
Hf8 0.750 0.750 0.750
Ir1 0.000 0.000 0.000
Ir2 0.000 0.500 0.500
Ir3 0.500 0.000 0.500
Ir4 0.500 0.500 0.000
Pd1 0.000 0.000 0.500
Pd2 0.000 0.500 0.000
Pd3 0.500 0.000 0.000
Pd4 0.500 0.500 0.500